! SbPIr2, relaxed, DFT PBE; values from VASP
&SYSTEM
  ibrav = 0, nat = 4, ntyp = 3
/
ATOMIC_SPECIES
Sb 121.76 Sb.upf
P 30.97 P.upf
Ir 192.22 Ir.upf
CELL_PARAMETERS angstrom
0.0000 3.2206 3.2206
3.2206 0.0000 3.2206
3.2206 3.2206 0.0000
ATOMIC_POSITIONS crystal
Sb 0.0000 0.0000 0.0000
P 0.7500 0.7500 0.7500
Ir 0.2500 0.2500 0.2500
Ir 0.5000 0.5000 0.5000
! - DOS at the Fermi energy: 1.053 states/eV/atom
! - Formation energy from raw total energies: 0.631 eV/atom
! - Energy relative to the lowest polymorph listed for this composition: 20.86 kcal/mol of atoms
! - Raw total energy: -24.7 eV/cell